VASP calculation (PBE) on NbNiGe after structural relaxation.

Geometry as CIF:
```
data_NbNiGe
_space_group_name_H-M_alt 'P 1'
_space_group_IT_number 1
_cell_length_a 3.0061
_cell_length_b 4.1013
_cell_length_c 4.1013
_cell_angle_alpha 120.00
_cell_angle_beta 90.00
_cell_angle_gamma 90.00
loop_
_space_group_symop_operation_xyz
'x,y,z'
loop_
_atom_site_label
_atom_site_fract_x
_atom_site_fract_y
_atom_site_fract_z
Ni1 0.1665 0.6667 0.3333
Nb1 0.6667 0.3333 0.6667
Ge1 0.1668 0.0000 0.0000
```

Properties
- volume (Å³/cell) = 43.79
- DFT formation energy (eV/atom) = -0.3840
- space-group type = P-6m2
- crystal system = hexagonal